(1)
Computed, not measured: a geometry-optimized ErTmSb2 structure at the PBE level of DFT.

Lattice parameters (Å, degrees): 4.339 4.339 6.136 90.00 90.00 90.00
Element x y z (fractional)
1 Er 0.000 0.000 0.000
2 Tm 0.500 0.500 0.500
3 Sb 0.000 0.000 0.500
4 Sb 0.500 0.500 0.000

Computed properties:
M_tot	0.000	μB per cell
V	28.9	A^3/atom
uncorrected energy	-5.4006	eV/atom

(2)
Computed, not measured: a geometry-optimized PbAu structure at the PBE level of DFT.

Lattice parameters (Å, degrees): 3.343 3.343 4.939 90.00 90.00 120.00
Element x y z (fractional)
1 Pb 0.000 0.000 0.000
2 Au 0.333 0.667 0.500

Computed properties:
V	23.9	A^3/atom
uncorrected energy	-3.3820	eV/atom

(3)
Computed, not measured: a geometry-optimized HfBePt structure at the PBE level of DFT.

Lattice parameters (Å, degrees): 3.139 3.139 9.241 90.00 90.00 90.00
Element x y z (fractional)
1 Hf 0.250 0.250 0.114
2 Hf 0.750 0.750 0.886
3 Be 0.250 0.250 0.434
4 Be 0.750 0.750 0.566
5 Pt 0.250 0.250 0.688
6 Pt 0.750 0.750 0.312

Computed properties:
M_tot	0.003	μB per cell
V	15.2	A^3/atom
energy relative to the lowest polymorph listed for this composition	252	meV/atom

(4)
Computed, not measured: a geometry-optimized La3Ge3Pd2 structure at the PBE level of DFT.

Lattice parameters (Å, degrees): 5.987 5.987 15.718 90.00 90.00 136.70
Element x y z (fractional)
1 La 0.095 0.905 0.750
2 La 0.368 0.632 0.596
3 La 0.368 0.632 0.904
4 La 0.632 0.368 0.096
5 La 0.632 0.368 0.404
6 La 0.905 0.095 0.250
7 Ge 0.089 0.911 0.548
8 Ge 0.089 0.911 0.952
9 Ge 0.193 0.807 0.250
10 Ge 0.807 0.193 0.750
11 Ge 0.911 0.089 0.048
12 Ge 0.911 0.089 0.452
13 Pd 0.341 0.659 0.118
14 Pd 0.341 0.659 0.382
15 Pd 0.659 0.341 0.618
16 Pd 0.659 0.341 0.882

Computed properties:
M_tot	0.008	μB per cell
V	24.1	A^3/atom
uncorrected energy	-5.8119	eV/atom

(5)
Computed, not measured: a geometry-optimized ScZn structure at the PBE level of DFT.

Lattice parameters (Å, degrees): 6.758 4.711 7.094 90.00 101.23 90.00
Element x y z (fractional)
1 Sc 0.158 0.250 0.030
2 Sc 0.188 0.750 0.340
3 Sc 0.286 0.250 0.629
4 Sc 0.714 0.750 0.371
5 Sc 0.812 0.250 0.660
6 Sc 0.842 0.750 0.970
7 Zn 0.095 0.750 0.718
8 Zn 0.397 0.750 0.022
9 Zn 0.492 0.250 0.323
10 Zn 0.508 0.750 0.677
11 Zn 0.603 0.250 0.978
12 Zn 0.905 0.250 0.282

Computed properties:
M_tot	0.060	μB per cell
V	18.5	A^3/atom
uncorrected energy	-4.0579	eV/atom

(6)
Computed, not measured: a geometry-optimized CuSe3I structure at the PBE level of DFT.

Lattice parameters (Å, degrees): 9.527 9.527 9.527 96.25 96.25 96.25
Element x y z (fractional)
1 Cu 0.112 0.112 0.607
2 Cu 0.112 0.607 0.112
3 Cu 0.393 0.888 0.888
4 Cu 0.607 0.112 0.112
5 Cu 0.888 0.393 0.888
6 Cu 0.888 0.888 0.393
7 Se 0.127 0.127 0.864
8 Se 0.127 0.864 0.127
9 Se 0.128 0.392 0.392
10 Se 0.136 0.873 0.873
11 Se 0.291 0.291 0.551
12 Se 0.291 0.551 0.291
13 Se 0.392 0.128 0.392
14 Se 0.392 0.392 0.128
15 Se 0.449 0.709 0.709
16 Se 0.551 0.291 0.291
17 Se 0.608 0.608 0.872
18 Se 0.608 0.872 0.608
19 Se 0.709 0.449 0.709
20 Se 0.709 0.709 0.449
21 Se 0.864 0.127 0.127
22 Se 0.872 0.608 0.608
23 Se 0.873 0.136 0.873
24 Se 0.873 0.873 0.136
25 I 0.150 0.500 0.850
26 I 0.150 0.850 0.500
27 I 0.500 0.150 0.850
28 I 0.500 0.850 0.150
29 I 0.850 0.150 0.500
30 I 0.850 0.500 0.150

Computed properties:
V	28.3	A^3/atom
uncorrected energy	-3.2356	eV/atom